This record from Alexandria via LeMat-Bulk describes a relaxed Tb6CeSm10 crystal. The functional is PBE.

Cell and atoms, written as CIF:
```
data_Tb6CeSm10
_space_group_name_H-M_alt 'P -3 1 m'
_space_group_IT_number 162
_space_group_name_Hall '-P 3 2'
_cell_length_a 9.7836
_cell_length_b 9.7836
_cell_length_c 6.8901
_cell_angle_alpha 90.00
_cell_angle_beta 90.00
_cell_angle_gamma 120.00
loop_
_atom_site_label
_atom_site_type_symbol
_atom_site_fract_x
_atom_site_fract_y
_atom_site_fract_z
Tb1 Tb 0.0000 0.3753 0.3022
Ce1 Ce 0.0000 0.0000 0.5000
Sm1 Sm 0.0000 0.2721 0.8133
Sm2 Sm 0.3333 0.6667 0.0000
Sm3 Sm 0.3333 0.6667 0.5000
```

## Properties
- crystal system = trigonal
- formation enthalpy at 0 K (eV/atom) = 0.15

=====

This record from Alexandria via LeMat-Bulk describes a relaxed CsGaPd crystal. The functional is PBE.

Cell and atoms, written as CIF:
```
data_CsGaPd
_space_group_name_H-M_alt 'P -6 m 2'
_space_group_IT_number 187
_space_group_name_Hall 'P -6 2'
_cell_length_a 4.3436
_cell_length_b 4.3436
_cell_length_c 5.8825
_cell_angle_alpha 90.00
_cell_angle_beta 90.00
_cell_angle_gamma 120.00
loop_
_atom_site_label
_atom_site_type_symbol
_atom_site_fract_x
_atom_site_fract_y
_atom_site_fract_z
Cs1 Cs 0.0000 0.0000 0.0000
Ga1 Ga 0.3333 0.6667 0.5000
Pd1 Pd 0.6667 0.3333 0.5000
```

## Properties
- crystal system = hexagonal
- formation enthalpy at 0 K (eV/atom) = -0.20

=====

This record from Alexandria via LeMat-Bulk describes a relaxed Ba2BeCdTe crystal. The functional is PBE.

Cell and atoms, written as CIF:
```
data_Ba2BeCdTe
_space_group_name_H-M_alt 'P 4/m m m'
_space_group_IT_number 123
_space_group_name_Hall '-P 4 2'
_cell_length_a 6.422
_cell_length_b 6.422
_cell_length_c 4.587
_cell_angle_alpha 90.00
_cell_angle_beta 90.00
_cell_angle_gamma 90.00
loop_
_atom_site_label
_atom_site_type_symbol
_atom_site_fract_x
_atom_site_fract_y
_atom_site_fract_z
Ba1 Ba 0.000 0.500 0.000
Be1 Be 0.000 0.000 0.500
Cd1 Cd 0.000 0.000 0.000
Te1 Te 0.500 0.500 0.500
```

## Properties
- uncorrected formation energy (eV per formula unit) = -1.284
- crystal system = tetragonal

=====

This record from Alexandria via LeMat-Bulk describes a relaxed Hg2PtSe crystal. The functional is PBE.

Cell and atoms, written as CIF:
```
data_Hg2PtSe
_space_group_name_H-M_alt 'F -4 3 m'
_space_group_IT_number 216
_space_group_name_Hall 'F -4 2 3'
_cell_length_a 6.870
_cell_length_b 6.870
_cell_length_c 6.870
_cell_angle_alpha 90.00
_cell_angle_beta 90.00
_cell_angle_gamma 90.00
loop_
_atom_site_label
_atom_site_type_symbol
_atom_site_fract_x
_atom_site_fract_y
_atom_site_fract_z
Hg1 Hg 0.000 0.000 0.000
Hg2 Hg 0.250 0.250 0.250
Pt1 Pt 0.000 0.000 0.500
Se1 Se 0.250 0.250 0.750
```

## Properties
- offset from the most stable computed form (eV per formula unit) = 1.45
- uncorrected formation energy (eV per formula unit) = 1.255
- crystal system = cubic

=====

This record from Alexandria via LeMat-Bulk describes a relaxed Tb4InSn crystal. The functional is PBE.

Cell and atoms, written as CIF:
```
data_Tb4InSn
_space_group_name_H-M_alt 'C 1 2/m 1'
_space_group_IT_number 12
_cell_length_a 8.914
_cell_length_b 5.135
_cell_length_c 8.803
_cell_angle_alpha 90.00
_cell_angle_beta 109.81
_cell_angle_gamma 90.00
loop_
_space_group_symop_operation_xyz
'x,y,z'
'-x,-y,-z'
'-x,y,-z'
'x,-y,z'
'x+1/2,y+1/2,z'
'-x+1/2,-y+1/2,-z'
'-x+1/2,y+1/2,-z'
'x+1/2,-y+1/2,z'
loop_
_atom_site_label
_atom_site_type_symbol
_atom_site_fract_x
_atom_site_fract_y
_atom_site_fract_z
Tb1 Tb 0.127 0.000 0.380
Tb2 Tb 0.215 0.500 0.143
In1 In 0.000 0.000 0.000
Sn1 Sn 0.000 0.500 0.500
```

## Properties
- crystal system = monoclinic
- formation enthalpy at 0 K (eV/atom) = -0.23

=====

This record from Alexandria via LeMat-Bulk describes a relaxed GaHg3Pb3 crystal. The functional is PBE.

Cell and atoms, written as CIF:
```
data_GaHg3Pb3
_space_group_name_H-M_alt 'P m -3 n'
_space_group_IT_number 223
_space_group_name_Hall '-P 4n 2 3'
_cell_length_a 8.282
_cell_length_b 8.282
_cell_length_c 8.282
_cell_angle_alpha 90.00
_cell_angle_beta 90.00
_cell_angle_gamma 90.00
loop_
_atom_site_label
_atom_site_type_symbol
_atom_site_fract_x
_atom_site_fract_y
_atom_site_fract_z
Ga1 Ga 0.000 0.000 0.000
Hg1 Hg 0.000 0.250 0.500
Pb1 Pb 0.000 0.500 0.250
```

## Properties
- offset from the most stable computed form (eV per formula unit) = 2.60
- crystal system = cubic
- formation enthalpy at 0 K (eV/atom) = 0.43

=====

This record from Alexandria via LeMat-Bulk describes a relaxed Ac2La8Ag crystal. The functional is PBE.

Cell and atoms, written as CIF:
```
data_Ac2La8Ag
_space_group_name_H-M_alt 'C 1 2/m 1'
_space_group_IT_number 12
_cell_length_a 20.292
_cell_length_b 5.947
_cell_length_c 6.729
_cell_angle_alpha 90.00
_cell_angle_beta 93.60
_cell_angle_gamma 90.00
loop_
_space_group_symop_operation_xyz
'x,y,z'
'-x,-y,-z'
'-x,y,-z'
'x,-y,z'
'x+1/2,y+1/2,z'
'-x+1/2,-y+1/2,-z'
'-x+1/2,y+1/2,-z'
'x+1/2,-y+1/2,z'
loop_
_atom_site_label
_atom_site_type_symbol
_atom_site_fract_x
_atom_site_fract_y
_atom_site_fract_z
Ac1 Ac 0.237 0.000 0.319
La1 La 0.037 0.000 0.253
La2 La 0.078 0.500 0.610
La3 La 0.149 0.000 0.797
La4 La 0.152 0.500 0.124
Ag1 Ag 0.000 0.500 0.000
```

## Properties
- crystal system = monoclinic
- formation enthalpy at 0 K (eV/atom) = -0.01

=====

This record from Alexandria via LeMat-Bulk describes a relaxed Er3Al2Ag7 crystal. The functional is PBE.

Cell and atoms, written as CIF:
```
data_Er3Al2Ag7
_space_group_name_H-M_alt 'I 4/m m m'
_space_group_IT_number 139
_space_group_name_Hall '-I 4 2'
_cell_length_a 4.140
_cell_length_b 4.140
_cell_length_c 29.147
_cell_angle_alpha 90.00
_cell_angle_beta 90.00
_cell_angle_gamma 90.00
loop_
_atom_site_label
_atom_site_type_symbol
_atom_site_fract_x
_atom_site_fract_y
_atom_site_fract_z
Er1 Er 0.000 0.000 0.000
Er2 Er 0.000 0.000 0.173
Al1 Al 0.000 0.000 0.365
Ag1 Ag 0.000 0.000 0.275
Ag2 Ag 0.000 0.000 0.500
Ag3 Ag 0.000 0.500 0.079
```

## Properties
- crystal system = tetragonal
- formation enthalpy at 0 K (eV/atom) = -0.18

=====

This record from Alexandria via LeMat-Bulk describes a relaxed CsAl2CdCl8 crystal. The functional is PBE.

Cell and atoms, written as CIF:
```
data_CsAl2CdCl8
_space_group_name_H-M_alt 'R -3'
_space_group_IT_number 148
_space_group_name_Hall '-R 3'
_cell_length_a 6.7734
_cell_length_b 6.7734
_cell_length_c 29.6624
_cell_angle_alpha 90.00
_cell_angle_beta 90.00
_cell_angle_gamma 120.00
loop_
_atom_site_label
_atom_site_type_symbol
_atom_site_fract_x
_atom_site_fract_y
_atom_site_fract_z
Cs1 Cs 0.0000 0.0000 0.0000
Al1 Al 0.0000 0.0000 0.2510
Cd1 Cd 0.0000 0.0000 0.5000
Cl1 Cl 0.0000 0.0000 0.3238
Cl2 Cl 0.0177 0.6401 0.4387
```

## Properties
- uncorrected formation energy (eV per formula unit) = -17.759
- crystal system = trigonal

=====

This record from Alexandria via LeMat-Bulk describes a relaxed BeTcI2N crystal. The functional is PBE.

Cell and atoms, written as CIF:
```
data_BeTcI2N
_space_group_name_H-M_alt 'P 4/m m m'
_space_group_IT_number 123
_space_group_name_Hall '-P 4 2'
_cell_length_a 5.539
_cell_length_b 5.539
_cell_length_c 3.748
_cell_angle_alpha 90.00
_cell_angle_beta 90.00
_cell_angle_gamma 90.00
loop_
_atom_site_label
_atom_site_type_symbol
_atom_site_fract_x
_atom_site_fract_y
_atom_site_fract_z
Be1 Be 0.000 0.000 0.000
Tc1 Tc 0.500 0.500 0.500
I1 I 0.000 0.500 0.500
N1 N 0.500 0.500 0.000
```

## Properties
- offset from the most stable computed form (eV per formula unit) = 0.00
- uncorrected formation energy (eV per formula unit) = 3.795
- crystal system = tetragonal

=====

Electronic total energy readings, ordered: -78.4, -9.7, -12.9, -35.5, -53.3, -24.1, -101.1, -86.6, -125.4, -21.7 eV/cell
Mass density readings, ordered: 7.551, 5.339, 4.596, 13.834, 7.616, 7.560, 6.857, 8.712, 2.464, 5.413 Mg/m³